DFT (PBE) results for crystalline KPmAs2 at its relaxed geometry.

Structure (POSCAR):
```
KPmAs2
1.0
4.372 0.000 0.000
2.186 3.786 0.000
2.186 1.262 7.752
Pm K As
1 1 2
Direct
0.000 0.000 0.000
0.500 0.500 0.500
0.267 0.267 0.198
0.733 0.733 0.802
```

Computed properties:
Distance to the lowest polymorph of the same formula = 81 kJ/mol of formula units
Energy of formation = -0.608 eV per atom
E = -4.3947 eV/atom
Total moment = 0.00 μB/f.u.
Volume = 128.33 Å³/cell



DFT (PBE) results for crystalline KPmAs at its relaxed geometry.

Structure (POSCAR):
```
KPmAs
1.0
4.863 0.000 0.000
2.432 4.212 0.000
2.432 1.404 12.360
Pm As K
2 2 2
Direct
0.866 0.866 0.402
0.134 0.134 0.598
0.782 0.782 0.654
0.218 0.218 0.346
0.386 0.386 0.841
0.614 0.614 0.159
```

Computed properties:
Distance to the lowest polymorph of the same formula = 0 kJ/mol of formula units
Energy of formation = -0.730 eV per atom
E = -4.2290 eV/atom
Total moment = 0.00 μB/f.u.
Volume = 253.14 Å³/cell



DFT (PBE) results for crystalline K2PmAsSe4 at its relaxed geometry.

Structure (POSCAR):
```
K2PmAsSe4
1.0
-8.172 -2.102 -2.006
2.123 -8.407 0.188
1.701 5.176 6.895
Pm Se K As
2 8 4 2
Direct
0.000 0.500 0.000
0.000 0.500 0.500
0.759 0.741 0.960
0.759 0.741 0.540
0.252 0.709 0.480
0.748 0.291 0.520
0.209 0.752 0.980
0.241 0.259 0.460
0.241 0.259 0.040
0.791 0.248 0.020
0.000 0.000 0.500
0.500 0.000 0.000
0.500 0.500 0.000
0.500 0.000 0.500
0.000 0.000 0.000
0.500 0.500 0.500
```

Computed properties:
E_form (uncorrected) = -843 kJ/mol of formula units
E = -4.2840 eV/atom
Total moment = 0.00 μB/f.u.
Volume = 461.05 Å³/cell



DFT (PBE) results for crystalline K2PrAsS4 at its relaxed geometry.

Structure (POSCAR):
```
K2PrAsS4
1.0
-1.210 -8.045 1.959
3.912 -2.306 -7.028
3.756 5.300 5.525
S K Pr As
8 4 2 2
Direct
0.242 0.258 0.043
0.758 0.742 0.957
0.208 0.755 0.981
0.242 0.258 0.457
0.758 0.742 0.543
0.255 0.708 0.481
0.792 0.245 0.019
0.745 0.292 0.519
0.500 0.000 0.000
0.500 0.000 0.500
0.000 0.000 0.500
0.500 0.500 0.000
0.000 0.500 0.000
0.000 0.500 0.500
0.000 0.000 0.000
0.500 0.500 0.500
```

Computed properties:
E_form (uncorrected) = -866 kJ/mol of formula units
E = -4.6387 eV/atom
Total moment = 0.00 μB/f.u.
Volume = 414.18 Å³/cell



DFT (PBE) results for crystalline K4Pr3AsS8 at its relaxed geometry.

Structure (POSCAR):
```
K4Pr3AsS8
1.0
-4.941 -5.948 2.999
7.054 -4.949 1.807
-0.323 7.654 3.179
As K S Pr
1 4 8 3
Direct
0.000 0.500 0.000
0.000 0.000 0.000
0.500 0.000 0.000
0.000 0.000 0.500
0.500 0.000 0.500
0.737 0.712 0.475
0.224 0.701 0.448
0.753 0.701 0.977
0.263 0.288 0.525
0.776 0.299 0.023
0.224 0.701 0.977
0.776 0.299 0.552
0.247 0.299 0.023
0.500 0.500 0.000
0.000 0.500 0.500
0.500 0.500 0.500
```

Computed properties:
E_form (uncorrected) = -2296 kJ/mol of formula units
E = -5.0122 eV/atom
Total moment = 0.00 μB/f.u.
Volume = 440.04 Å³/cell



DFT (PBE) results for crystalline K2PrAsSe4 at its relaxed geometry.

Structure (POSCAR):
```
K2PrAsSe4
1.0
-7.505 1.759 -4.082
3.795 -1.654 -7.678
0.281 -5.977 6.555
Pr Se K As
2 8 4 2
Direct
0.000 0.500 0.000
0.000 0.500 0.500
0.758 0.742 0.542
0.790 0.245 0.017
0.210 0.755 0.983
0.745 0.290 0.517
0.758 0.742 0.958
0.242 0.258 0.458
0.242 0.258 0.042
0.255 0.710 0.483
0.500 0.000 0.000
0.500 0.000 0.500
0.500 0.500 0.000
0.000 0.000 0.500
0.500 0.500 0.500
0.000 0.000 0.000
```

Computed properties:
E_form (uncorrected) = -837 kJ/mol of formula units
E = -4.2797 eV/atom
Total moment = 0.00 μB/f.u.
Volume = 468.94 Å³/cell



DFT (PBE) results for crystalline KAs3Pt at its relaxed geometry.

Structure (POSCAR):
```
KAs3Pt
1.0
5.240 0.000 0.000
0.000 5.240 0.000
0.000 0.000 5.240
K As Pt
1 3 1
Direct
0.000 0.000 0.000
0.500 0.000 0.000
0.000 0.500 0.000
0.000 0.000 0.500
0.500 0.500 0.500
```

Computed properties:
Distance to the lowest polymorph of the same formula = 884 kJ/mol of formula units
Energy of formation = 2.051 eV per atom
E = -2.1660 eV/atom
Total moment = 0.00 μB/f.u.
Volume = 143.86 Å³/cell



DFT (PBE) results for crystalline K3As2Pt at its relaxed geometry.

Structure (POSCAR):
```
K3As2Pt
1.0
-5.221 4.383 -4.530
-6.000 -4.195 2.856
4.964 4.099 5.638
K Pt As
6 2 4
Direct
0.792 0.645 0.585
0.250 0.500 0.000
0.208 0.355 0.415
0.708 0.060 0.415
0.292 0.940 0.585
0.750 0.500 0.000
0.750 0.000 0.000
0.250 0.000 0.000
0.044 0.870 0.088
0.544 0.218 0.088
0.956 0.130 0.912
0.456 0.782 0.912
```

Computed properties:
Distance to the lowest polymorph of the same formula = 0 kJ/mol of formula units
Energy of formation = -0.384 eV per atom
E = -3.4890 eV/atom
Total moment = 0.00 μB/f.u.
Volume = 412.10 Å³/cell



DFT (PBE) results for crystalline KAsPt at its relaxed geometry.

Structure (POSCAR):
```
KAsPt
1.0
6.411 -0.002 -0.016
4.501 4.565 0.016
-5.447 -2.304 2.475
As Pt K
1 1 1
Direct
0.947 0.947 0.000
0.386 0.386 0.000
0.667 0.667 0.000
```

Computed properties:
Energy of formation = -0.371 eV per atom
E = -4.2999 eV/atom
Total moment = 0.00 μB/f.u.
Volume = 72.46 Å³/cell



DFT (PBE) results for crystalline KAs2Pt2 at its relaxed geometry.

Structure (POSCAR):
```
KAs2Pt2
1.0
-1.880 -7.387 2.900
3.391 -3.442 -6.570
2.626 -0.113 1.414
As Pt K
4 4 2
Direct
0.360 0.860 0.000
0.140 0.360 0.000
0.860 0.640 0.000
0.640 0.140 0.000
0.133 0.633 0.500
0.633 0.867 0.500
0.867 0.367 0.500
0.367 0.133 0.500
0.500 0.500 0.000
0.000 0.000 0.000
```

Computed properties:
Energy of formation = -0.138 eV per atom
E = -4.6335 eV/atom
Total moment = 0.00 μB/f.u.
Volume = 198.54 Å³/cell



DFT (PBE) results for crystalline K3As2Pt4 at its relaxed geometry.

Structure (POSCAR):
```
K3As2Pt4
1.0
4.347 0.000 0.000
-2.174 5.970 -2.161
0.000 0.352 8.896
Pt K As
4 3 2
Direct
0.728 0.456 0.068
0.811 0.621 0.574
0.189 0.379 0.426
0.272 0.544 0.932
0.596 0.192 0.688
0.000 0.000 0.000
0.404 0.808 0.312
0.666 0.331 0.297
0.334 0.669 0.703
```

Computed properties:
Energy of formation = -0.380 eV per atom
E = -4.4638 eV/atom
Total moment = 0.00 μB/f.u.
Volume = 234.20 Å³/cell



DFT (PBE) results for crystalline K3As2Pt at its relaxed geometry.

Structure (POSCAR):
```
K3As2Pt
1.0
7.990 0.000 0.000
0.000 7.198 0.592
0.000 0.588 7.199
As K Pt
4 6 2
Direct
0.500 0.637 0.637
0.000 0.637 0.637
0.000 0.363 0.363
0.500 0.363 0.363
0.250 0.018 0.606
0.250 0.815 0.185
0.750 0.982 0.394
0.250 0.394 0.982
0.750 0.185 0.815
0.750 0.606 0.018
0.250 0.490 0.510
0.750 0.510 0.490
```

Computed properties:
Distance to the lowest polymorph of the same formula = 13 kJ/mol of formula units
Energy of formation = -0.361 eV per atom
E = -3.4665 eV/atom
Total moment = 0.00 μB/f.u.
Volume = 411.25 Å³/cell



Q: Look up the total moment of the tenth one.
A: 0.00 μB/f.u.



Q: Look up the total moment of the ninth one.
A: 0.00 μB/f.u.